{
  "formula": "Tc2HgIr2",
  "functional": "PBE-GGA",
  "state": "optimized geometry",
  "e_form_kj_per_mol_fu": 117.3,
  "dft_energy_ev_per_atom": -7.51,
  "vol_a3_per_cell": 165,
  "relative_energy_ev_per_atom": 0.016,
  "lattice": [[7.732, 0.000, 0.000], [0.000, 7.732, 0.000], [0.000, 0.000, 2.755]],
  "species": ["Tc", "Tc", "Tc", "Tc", "Hg", "Hg", "Ir", "Ir", "Ir", "Ir"],
  "frac_coords": [[0.122, 0.378, 0.000], [0.378, 0.878, 0.000], [0.622, 0.122, 0.000], [0.878, 0.622, 0.000], [0.000, 0.000, 0.000], [0.500, 0.500, 0.000], [0.165, 0.665, 0.500], [0.335, 0.165, 0.500], [0.665, 0.835, 0.500], [0.835, 0.335, 0.500]]
}